Below is crystalline RbTe3Au at its relaxed geometry, with properties calculated at the PBE level.

## Properties
DFT total energy, eV for the cell shown: -29.49
Space group: R-3c, No. 167
Total moment, μB/f.u.: 0.0
V, Å³/cell: 332.5

a = 7.068 Å, b = 7.068 Å, c = 7.068 Å
α = 77.90°, β = 77.90°, γ = 77.90°
Fractional coordinates of all 10 atoms:
Te (0.683, 0.806, 0.244)
Te (0.183, 0.744, 0.306)
Rb (0.244, 0.244, 0.244)
Te (0.306, 0.183, 0.744)
Te (0.744, 0.306, 0.183)
Au (0.994, 0.994, 0.994)
Te (0.806, 0.244, 0.683)
Au (0.494, 0.494, 0.494)
Rb (0.744, 0.744, 0.744)
Te (0.244, 0.683, 0.806)